[1]
TaInCl6 PBE relaxed; mass density = 3.0 g cm⁻³; size of the total moment = 0.000 μB/atom; symmetry = No. 12; raw formation energy = -1234 meV/atom
1.0
6.9399 -0.0175 -0.7486
1.6440 6.4070 -2.7815
-0.2361 -1.0181 6.7710
Cl Ta In
6 1 1
Cartesian
5.6085 2.6454 0.1392
6.0012 4.6363 -2.5368
3.3131 5.0035 -0.5687
2.5827 1.7532 -0.9934
2.7393 2.7260 3.1017
5.0347 0.3679 3.8095
4.2919 3.1947 -1.7651
0.0000 0.0000 0.0000

***

[2]
TaInCl2 PBE relaxed; mass density = 7.2 g cm⁻³; size of the total moment = 0.000 μB/atom; symmetry = No. 99; relative energy among the computed polymorphs = 105 kJ/mol of formula units; raw formation energy = -239 meV/atom
1.0
-1.1103 -2.2872 1.8273
2.8795 -0.5007 1.1230
-1.4650 5.7663 6.3274
In Ta Cl
1 1 2
Cartesian
-0.7547 2.9704 3.2595
-0.2206 2.9560 6.2483
-1.3660 5.3768 5.9000
0.4479 0.3248 3.3611

***

[3]
TaIn3Cl PBE relaxed; mass density = 5.4 g cm⁻³; size of the total moment = 0.667 μB/atom; symmetry = No. 221; relative energy among the computed polymorphs = 0 kJ/mol of formula units; raw formation energy = 550 meV/atom
1.0
-1.1134 0.9368 -5.3624
-4.9235 -2.5080 0.5841
-2.3220 4.8687 1.3327
In Ta Cl
3 1 1
Cartesian
-0.5567 0.4684 -2.6812
-1.1610 2.4344 0.6664
-2.4618 -1.2540 0.2921
0.0000 0.0000 0.0000
-4.1795 1.6488 -1.7228

***

[4]
TaInCl PBE relaxed; mass density = 8.0 g cm⁻³; size of the total moment = 0.197 μB/atom; symmetry = No. 107; relative energy among the computed polymorphs = 75 kJ/mol of formula units; raw formation energy = 36 meV/atom
1.0
7.9560 0.0650 0.0000
6.7923 4.1433 0.0000
-7.3741 -2.1042 2.1205
In Cl Ta
1 1 1
Cartesian
4.4326 1.2648 0.0000
0.6807 0.1942 0.0000
9.6350 2.7493 0.0000

***

[5]
TaInCl PBE relaxed; mass density = 7.6 g cm⁻³; size of the total moment = 0.000 μB/atom; symmetry = No. 216; relative energy among the computed polymorphs = 332 kJ/mol of formula units; raw formation energy = 924 meV/atom
1.0
-3.3037 3.1971 -0.8206
-4.5080 -1.2110 0.1426
-2.7125 1.5039 3.4914
In Ta Cl
1 1 1
Cartesian
-5.2621 1.7450 1.4067
-7.8932 2.6175 2.1101
0.0000 0.0000 0.0000

***

[6]
TaInCl2 PBE relaxed; mass density = 6.5 g cm⁻³; size of the total moment = 0.000 μB/atom; symmetry = No. 166; relative energy among the computed polymorphs = 82 kJ/mol of formula units; raw formation energy = -299 meV/atom
1.0
1.8851 0.0000 10.1209
-0.9426 1.6326 10.1209
-0.9426 -1.6326 10.1209
In Cl Ta
1 2 1
Cartesian
0.0000 0.0000 15.1813
0.0000 0.0000 2.3199
0.0000 0.0000 28.0428
0.0000 0.0000 0.0000